Record 1
# TbTm2Au

A relaxed structure of TbTm2Au (GGA-PBE, Alexandria via LeMat-Bulk). Values from VASP.

```
&SYSTEM
  ibrav = 0, nat = 8, ntyp = 3
/
ATOMIC_SPECIES
Tb 158.93 Tb.upf
Tm 168.93 Tm.upf
Au 196.97 Au.upf
CELL_PARAMETERS angstrom
2.4342 -5.8727 0.0000
2.4342 5.8727 0.0000
0.0000 0.0000 7.7912
ATOMIC_POSITIONS angstrom
Tb 2.4342 5.3491 5.8434
Tb 2.4342 -5.3491 1.9478
Tm 2.4342 1.7059 4.1905
Tm 2.4342 1.7059 7.4963
Tm 2.4342 -1.7059 0.2949
Tm 2.4342 -1.7059 3.6007
Au 2.4342 3.4548 1.9478
Au 2.4342 -3.4548 5.8434
```

- Density of states at the Fermi level: 5.11 states/eV/f.u.
- Energy relative to the elements: -0.42 eV per atom

Record 2
# Pm2NbNi3Ge4

A relaxed structure of Pm2NbNi3Ge4 (GGA-PBE, Alexandria via LeMat-Bulk). Values from VASP.

```
&SYSTEM
  ibrav = 0, nat = 10, ntyp = 4
/
ATOMIC_SPECIES
Pm 145.00 Pm.upf
Nb 92.91 Nb.upf
Ni 58.69 Ni.upf
Ge 72.64 Ge.upf
CELL_PARAMETERS angstrom
4.1266 0.0000 0.0000
0.0000 4.1266 0.0000
0.0000 0.0000 10.4126
ATOMIC_POSITIONS angstrom
Pm 0.0000 2.0633 2.4161
Pm 2.0633 0.0000 7.9965
Nb 0.0000 0.0000 5.2063
Ni 0.0000 2.0633 9.1817
Ni 2.0633 0.0000 1.2309
Ni 2.0633 2.0633 5.2063
Ge 0.0000 0.0000 0.0000
Ge 0.0000 2.0633 6.7802
Ge 2.0633 0.0000 3.6324
Ge 2.0633 2.0633 0.0000
```

- Density of states at the Fermi level: 5.29 states/eV/f.u.
- Energy relative to the elements: -0.63 eV per atom

Record 3
# CuSiTc2

A relaxed structure of CuSiTc2 (GGA-PBE, Alexandria via LeMat-Bulk). Values from VASP.

```
&SYSTEM
  ibrav = 0, nat = 4, ntyp = 3
/
ATOMIC_SPECIES
Cu 63.55 Cu.upf
Si 28.09 Si.upf
Tc 98.00 Tc.upf
CELL_PARAMETERS angstrom
1.3773 0.7952 8.4148
-1.3773 0.7952 8.4148
0.0000 -1.5904 8.4148
ATOMIC_POSITIONS angstrom
Cu 0.0000 0.0000 0.0000
Si 0.0000 0.0000 6.4526
Tc 0.0000 0.0000 12.7811
Tc 0.0000 0.0000 19.0987
```

- Density of states at the Fermi level: 3.12 states/eV/f.u.
- Raw formation energy: 14 meV/atom

Record 4
# YRu

A relaxed structure of YRu (GGA-PBE, Alexandria via LeMat-Bulk). Values from VASP.

```
&SYSTEM
  ibrav = 0, nat = 2, ntyp = 2
/
ATOMIC_SPECIES
Y 88.91 Y.upf
Ru 101.07 Ru.upf
CELL_PARAMETERS angstrom
3.4356 0.0000 0.0000
-1.7178 2.9753 0.0000
0.0000 0.0000 4.1270
ATOMIC_POSITIONS angstrom
Y 0.0000 0.0000 0.0000
Ru 1.7178 0.9918 2.0635
```

- Density of states at the Fermi level: 1.21 states/eV/f.u.
- Energy relative to the elements: 0.09 eV per atom

Record 5
# MgCo2Sb

A relaxed structure of MgCo2Sb (GGA-PBE, Alexandria via LeMat-Bulk). Values from VASP.

```
&SYSTEM
  ibrav = 0, nat = 4, ntyp = 3
/
ATOMIC_SPECIES
Mg 24.30 Mg.upf
Co 58.93 Co.upf
Sb 121.76 Sb.upf
CELL_PARAMETERS angstrom
0.0000 3.1218 3.1218
3.1218 0.0000 3.1218
3.1218 3.1218 0.0000
ATOMIC_POSITIONS angstrom
Mg 0.0000 0.0000 0.0000
Co 1.5609 1.5609 1.5609
Co 3.1218 3.1218 3.1218
Sb 4.6827 4.6827 4.6827
```

- Density of states at the Fermi level: 7.35 states/eV/f.u.
- Raw formation energy: 272 meV/atom

Record 6
# LiCdBPd2

A relaxed structure of LiCdBPd2 (GGA-PBE, Alexandria via LeMat-Bulk). Values from VASP.

```
&SYSTEM
  ibrav = 0, nat = 5, ntyp = 4
/
ATOMIC_SPECIES
Li 6.94 Li.upf
Cd 112.41 Cd.upf
B 10.81 B.upf
Pd 106.42 Pd.upf
CELL_PARAMETERS angstrom
4.1532 0.0000 0.0000
0.0000 4.1532 0.0000
0.0000 0.0000 4.2804
ATOMIC_POSITIONS angstrom
Li 0.0000 0.0000 0.0000
Cd 2.0766 2.0766 0.0000
B 0.0000 0.0000 2.1402
Pd 0.0000 2.0766 2.1402
Pd 2.0766 0.0000 2.1402
```

- Density of states at the Fermi level: 2.46 states/eV/f.u.
- Energy relative to the elements: -0.23 eV per atom

Record 7
# K4Pa3CuS8

A relaxed structure of K4Pa3CuS8 (GGA-PBE, Alexandria via LeMat-Bulk). Values from VASP.

```
&SYSTEM
  ibrav = 0, nat = 16, ntyp = 4
/
ATOMIC_SPECIES
K 39.10 K.upf
Pa 231.04 Pa.upf
Cu 63.55 Cu.upf
S 32.06 S.upf
CELL_PARAMETERS angstrom
6.9819 -3.9763 0.0000
6.9819 3.9763 0.0000
-4.6536 0.0000 7.4253
ATOMIC_POSITIONS angstrom
K 0.0000 0.0000 0.0000
K 3.4909 1.9881 0.0000
K 3.4909 -1.9881 0.0000
K 6.9819 0.0000 0.0000
Pa -2.3268 0.0000 3.7127
Pa 1.1641 1.9881 3.7127
Pa 1.1641 -1.9881 3.7127
Cu 4.6550 0.0000 3.7127
S -0.0145 0.0000 5.2452
S 3.4929 1.9671 5.1822
S 2.2699 0.0000 2.1867
S 5.8172 1.9671 2.2432
S 3.4929 -1.9671 5.1822
S 7.0402 0.0000 5.2387
S 5.8172 -1.9671 2.2432
S 9.3245 0.0000 2.1802
```

- Density of states at the Fermi level: 17.54 states/eV/f.u.
- Raw formation energy: -1325 meV/atom

Record 8
# MgSc2NbN

A relaxed structure of MgSc2NbN (GGA-PBE, Alexandria via LeMat-Bulk). Values from VASP.

```
&SYSTEM
  ibrav = 0, nat = 5, ntyp = 4
/
ATOMIC_SPECIES
Mg 24.30 Mg.upf
Sc 44.96 Sc.upf
Nb 92.91 Nb.upf
N 14.01 N.upf
CELL_PARAMETERS angstrom
4.4745 0.0000 0.0000
0.0000 4.4745 0.0000
0.0000 0.0000 4.3402
ATOMIC_POSITIONS angstrom
Mg 0.0000 0.0000 0.0000
Sc 0.0000 2.2373 2.1701
Sc 2.2373 0.0000 2.1701
Nb 2.2373 2.2373 0.0000
N 2.2373 2.2373 2.1701
```

- Density of states at the Fermi level: 3.14 states/eV/f.u.
- Raw formation energy: -662 meV/atom

Record 9
# LiPuC

A relaxed structure of LiPuC (GGA-PBE, Alexandria via LeMat-Bulk). Values from VASP.

```
&SYSTEM
  ibrav = 0, nat = 3, ntyp = 3
/
ATOMIC_SPECIES
Li 6.94 Li.upf
Pu 244.00 Pu.upf
C 12.01 C.upf
CELL_PARAMETERS angstrom
3.4003 0.0000 0.0000
-1.7002 2.9447 0.0000
0.0000 0.0000 5.2379
ATOMIC_POSITIONS angstrom
Li 0.0000 0.0000 0.0000
Pu 0.0000 1.9632 2.2688
C 1.7002 0.9816 1.0936
```

- Density of states at the Fermi level: 7.59 states/eV/f.u.
- Energy relative to the elements: 0.26 eV per atom

Record 10
# NdTm3Tl3

A relaxed structure of NdTm3Tl3 (GGA-PBE, Alexandria via LeMat-Bulk). Values from VASP.

```
&SYSTEM
  ibrav = 0, nat = 28, ntyp = 3
/
ATOMIC_SPECIES
Nd 144.24 Nd.upf
Tm 168.93 Tm.upf
Tl 204.38 Tl.upf
CELL_PARAMETERS angstrom
9.3251 0.0000 0.0000
0.0000 9.3251 0.0000
0.0000 0.0000 9.3251
ATOMIC_POSITIONS angstrom
Nd 0.5722 4.0904 5.2348
Nd 4.0904 5.2348 0.5722
Nd 5.2348 0.5722 4.0904
Nd 8.7530 8.7530 8.7529
Tm 0.8909 5.5535 8.4342
Tm 1.6414 1.6414 1.6414
Tm 1.7311 7.5940 2.9314
Tm 2.9314 1.7311 7.5940
Tm 3.0212 7.6838 6.3040
Tm 3.7716 3.7716 3.7716
Tm 5.5535 8.4342 0.8909
Tm 6.3040 3.0212 7.6838
Tm 6.3937 6.3937 6.3937
Tm 7.5940 2.9314 1.7311
Tm 7.6838 6.3040 3.0212
Tm 8.4342 0.8909 5.5535
Tl 0.0054 2.5556 8.2927
Tl 1.0325 4.6679 2.1070
Tl 2.1070 1.0325 4.6679
Tl 2.5556 8.2927 0.0054
Tl 3.6301 4.6572 6.7695
Tl 4.6572 6.7695 3.6301
Tl 4.6679 2.1070 1.0325
Tl 5.6951 9.3198 7.2182
Tl 6.7695 3.6301 4.6572
Tl 7.2182 5.6951 9.3198
Tl 8.2927 0.0054 2.5556
Tl 9.3198 7.2182 5.6951
```

- Density of states at the Fermi level: 7.52 states/eV/f.u.
- Energy relative to the elements: -0.23 eV per atom

Record 11
# DyGaAu2

A relaxed structure of DyGaAu2 (GGA-PBE, Alexandria via LeMat-Bulk). Values from VASP.

```
&SYSTEM
  ibrav = 0, nat = 16, ntyp = 3
/
ATOMIC_SPECIES
Dy 162.50 Dy.upf
Ga 69.72 Ga.upf
Au 196.97 Au.upf
CELL_PARAMETERS angstrom
8.0601 0.0000 0.0000
0.0000 7.2272 0.0000
0.0000 0.0000 5.5353
ATOMIC_POSITIONS angstrom
Dy 0.4270 1.8068 0.8076
Dy 3.6031 5.4204 3.5753
Dy 4.4570 1.8068 1.9601
Dy 7.6331 5.4204 4.7277
Ga 0.8352 5.4204 1.9628
Ga 3.1949 1.8068 4.7305
Ga 4.8652 5.4204 0.8049
Ga 7.2249 1.8068 3.5725
Au 1.4822 0.3257 3.4078
Au 1.4822 3.2879 3.4078
Au 2.5479 3.9392 0.6401
Au 2.5479 6.9015 0.6401
Au 5.5122 0.3257 4.8952
Au 5.5122 3.2879 4.8952
Au 6.5779 3.9392 2.1275
Au 6.5779 6.9015 2.1275
```

- Density of states at the Fermi level: 2.16 states/eV/f.u.
- Energy relative to the elements: -0.68 eV per atom

Record 12
# LiErH4

A relaxed structure of LiErH4 (GGA-PBE, Alexandria via LeMat-Bulk). Values from VASP.

```
&SYSTEM
  ibrav = 0, nat = 6, ntyp = 3
/
ATOMIC_SPECIES
Li 6.94 Li.upf
Er 167.26 Er.upf
H 1.01 H.upf
CELL_PARAMETERS angstrom
3.5695 0.0000 0.0000
0.0000 3.5695 0.0000
0.0000 0.0000 4.9014
ATOMIC_POSITIONS angstrom
Li 0.0000 0.0000 0.0000
Er 1.7847 1.7847 2.4507
H 0.0000 1.7847 1.2153
H 0.0000 1.7847 3.6861
H 1.7847 0.0000 1.2153
H 1.7847 0.0000 3.6861
```

- Density of states at the Fermi level: 0.40 states/eV/f.u.
- DFT total energy: -22.26 eV/cell

What did the eleventh record say?
# DyGaAu2

A relaxed structure of DyGaAu2 (GGA-PBE, Alexandria via LeMat-Bulk). Values from VASP.

```
&SYSTEM
  ibrav = 0, nat = 16, ntyp = 3
/
ATOMIC_SPECIES
Dy 162.50 Dy.upf
Ga 69.72 Ga.upf
Au 196.97 Au.upf
CELL_PARAMETERS angstrom
8.0601 0.0000 0.0000
0.0000 7.2272 0.0000
0.0000 0.0000 5.5353
ATOMIC_POSITIONS angstrom
Dy 0.4270 1.8068 0.8076
Dy 3.6031 5.4204 3.5753
Dy 4.4570 1.8068 1.9601
Dy 7.6331 5.4204 4.7277
Ga 0.8352 5.4204 1.9628
Ga 3.1949 1.8068 4.7305
Ga 4.8652 5.4204 0.8049
Ga 7.2249 1.8068 3.5725
Au 1.4822 0.3257 3.4078
Au 1.4822 3.2879 3.4078
Au 2.5479 3.9392 0.6401
Au 2.5479 6.9015 0.6401
Au 5.5122 0.3257 4.8952
Au 5.5122 3.2879 4.8952
Au 6.5779 3.9392 2.1275
Au 6.5779 6.9015 2.1275
```

- Density of states at the Fermi level: 2.16 states/eV/f.u.
- Energy relative to the elements: -0.68 eV per atom